Entry 1:
Computed, not measured: an optimized crystal structure of Pu2InGe at the PBE level of DFT.

The density of states at the Fermi level is 11.9 states/eV/cell. The formation energy is -0.31 eV per atom. For the total energy, the calculation gives -9.3195 eV per atom.

Lattice parameters (Å, degrees): 3.2443 3.2443 9.0444 90.00 90.00 90.00
With the nearest neighbours (Å) after each atom.
Atoms (fractional coordinates):
Pu 0.0000 0.0000 0.2260  4 Ge 3.07, 4 Pu 3.24, 4 In 3.38
Pu 0.0000 0.0000 0.7740  4 Ge 3.07, 4 Pu 3.24, 4 In 3.38
In 0.5000 0.5000 0.5000  4 In 3.24, 8 Pu 3.38
Ge 0.5000 0.5000 0.0000  8 Pu 3.07, 4 Ge 3.24

=====

Entry 2:
Computed, not measured: an optimized crystal structure of HoMgZn at the PBE level of DFT.

The density of states at the Fermi level is 3.3 states/eV/cell. The formation energy is -0.17 eV per atom. For the total energy, the calculation gives -2.6532 eV per atom.

Lattice parameters (Å, degrees): 4.8327 4.8327 3.3459 90.00 90.00 120.00
With the nearest neighbours (Å) after each atom.
Atoms (fractional coordinates):
Ho 0.0000 0.0000 0.0000  6 Zn 3.25, 6 Mg 3.25, 2 Ho 3.35
Mg 0.3333 0.6667 0.5000  3 Zn 2.79
Zn 0.6667 0.3333 0.5000  3 Mg 2.79

=====

Entry 3:
Computed, not measured: an optimized crystal structure of In2MoPt at the PBE level of DFT.

The density of states at the Fermi level is 3.5 states/eV/cell. The formation energy is 0.15 eV per atom. For the total energy, the calculation gives -5.4339 eV per atom. The energy above the most stable polymorph in this dataset is 0.68 eV per formula unit.

Lattice parameters (Å, degrees): 2.9252 4.4729 5.7467 90.00 93.77 90.00
With the nearest neighbours (Å) after each atom.
Atoms (fractional coordinates):
In 0.1134 0.0000 0.2447  2 Pt 2.71, 3 In 2.85-2.93, 2 Mo 2.91
In 0.8866 0.0000 0.7553  2 Pt 2.71, 3 In 2.85-2.93, 2 Mo 2.91
Mo 0.5000 0.5000 0.0000  8 In 2.91-3.14, 2 Mo 2.93, 2 Pt 3.14
Pt 0.0000 0.5000 0.5000  4 In 2.71, 2 Pt 2.93

=====

Entry 4:
Computed, not measured: an optimized crystal structure of NbFe2Ir at the PBE level of DFT.

The density of states at the Fermi level is 18.5 states/eV/cell. The formation energy is 0.34 eV per atom. For the total energy, the calculation gives -8.6288 eV per atom. The energy above the most stable polymorph in this dataset is 2.16 eV per formula unit.

Lattice parameters (Å, degrees): 3.6523 3.6523 18.5560 90.00 90.00 90.00
With the nearest neighbours (Å) after each atom.
Atoms (fractional coordinates):
Nb 0.0000 0.0000 0.0000  4 Ir 2.58, 4 Fe 2.67
Nb 0.0000 0.5000 0.2500  4 Ir 2.58, 4 Fe 2.67
Nb 0.5000 0.0000 0.7500  4 Ir 2.58, 4 Fe 2.67
Nb 0.5000 0.5000 0.5000  4 Ir 2.58, 4 Fe 2.67
Fe 0.2361 0.2500 0.6250  4 Fe 2.51-2.66, 2 Ir 2.64, 2 Nb 2.67
Fe 0.2500 0.7361 0.8750  4 Fe 2.51-2.66, 2 Ir 2.64, 2 Nb 2.67
Fe 0.2500 0.7639 0.3750  4 Fe 2.51-2.66, 2 Ir 2.64, 2 Nb 2.67
Fe 0.2639 0.2500 0.1250  4 Fe 2.51-2.66, 2 Ir 2.64, 2 Nb 2.67
Fe 0.7361 0.7500 0.1250  4 Fe 2.51-2.66, 2 Ir 2.64, 2 Nb 2.67
Fe 0.7500 0.2361 0.3750  4 Fe 2.51-2.66, 2 Ir 2.64, 2 Nb 2.67
Fe 0.7500 0.2639 0.8750  4 Fe 2.51-2.66, 2 Ir 2.64, 2 Nb 2.67
Fe 0.7639 0.7500 0.6250  4 Fe 2.51-2.66, 2 Ir 2.64, 2 Nb 2.67
Ir 0.0000 0.0000 0.5000  4 Nb 2.58, 4 Fe 2.64
Ir 0.0000 0.5000 0.7500  4 Nb 2.58, 4 Fe 2.64
Ir 0.5000 0.0000 0.2500  4 Nb 2.58, 4 Fe 2.64
Ir 0.5000 0.5000 0.0000  4 Nb 2.58, 4 Fe 2.64

=====

Entry 5:
Computed, not measured: an optimized crystal structure of Dy3ScRh8 at the PBE level of DFT.

The density of states at the Fermi level is 7.3 states/eV/cell. The formation energy is -0.73 eV per atom. For the total energy, the calculation gives -7.3117 eV per atom.

Lattice parameters (Å, degrees): 9.1847 9.1847 9.1847 33.57 33.57 33.57
With the nearest neighbours (Å) after each atom.
Atoms (fractional coordinates):
Dy 0.0000 0.0000 0.0000  12 Rh 3.05-3.12, 3 Sc 3.22, 1 Dy 3.28
Dy 0.1264 0.1264 0.1264  12 Rh 3.11-3.14, 4 Dy 3.27-3.28
Dy 0.5036 0.5036 0.5036  12 Rh 3.10-3.18, 1 Sc 3.23, 3 Dy 3.27
Sc 0.6279 0.6279 0.6279  12 Rh 3.06-3.11, 4 Dy 3.22-3.23
Rh 0.0623 0.5637 0.5637  6 Rh 2.64-2.67
Rh 0.0651 0.0651 0.5653  6 Rh 2.63-2.67
Rh 0.0651 0.5653 0.0651  6 Rh 2.63-2.67
Rh 0.3140 0.3140 0.3140  6 Rh 2.63-2.64
Rh 0.5637 0.0623 0.5637  6 Rh 2.64-2.67
Rh 0.5637 0.5637 0.0623  6 Rh 2.64-2.67
Rh 0.5653 0.0651 0.0651  6 Rh 2.63-2.67
Rh 0.8142 0.8142 0.8142  6 Rh 2.67

=====

Entry 6:
Computed, not measured: an optimized crystal structure of Pm7Cu2Au2 at the PBE level of DFT.

The density of states at the Fermi level is 15.4 states/eV/cell. The formation energy is -0.13 eV per atom. For the total energy, the calculation gives -4.4894 eV per atom.

Lattice parameters (Å, degrees): 6.7907 6.7907 7.2899 90.00 90.00 110.08
With the nearest neighbours (Å) after each atom.
Atoms (fractional coordinates):
Pm 0.0000 0.0000 0.0000  2 Cu 3.27
Pm 0.0000 0.5000 0.2697  2 Cu 2.81
Pm 0.0000 0.5000 0.7303  2 Cu 2.81
Pm 0.5000 0.0000 0.2697  2 Cu 2.81
Pm 0.5000 0.0000 0.7303  2 Cu 2.81
Pm 0.5000 0.5000 0.2548  2 Cu 2.95, 2 Au 3.06
Pm 0.5000 0.5000 0.7452  2 Cu 2.95, 2 Au 3.06
Cu 0.2942 0.7058 0.0000  6 Pm 2.81-2.95
Cu 0.7058 0.2942 0.0000  6 Pm 2.81-2.95
Au 0.1816 0.1816 0.5000  1 Au 2.83, 2 Pm 3.06
Au 0.8184 0.8184 0.5000  1 Au 2.83, 2 Pm 3.06

=====

Entry 7:
Computed, not measured: an optimized crystal structure of CaMg14Fe at the PBE level of DFT.

The density of states at the Fermi level is 8.9 states/eV/cell. The formation energy is 0.08 eV per atom. For the total energy, the calculation gives -1.9696 eV per atom. The energy above the most stable polymorph in this dataset is 0.00 eV per formula unit.

Lattice parameters (Å, degrees): 10.3426 6.4221 6.4221 58.70 90.00 90.00
With the nearest neighbours (Å) after each atom.
Atoms (fractional coordinates):
Ca 0.0000 0.0000 0.0000  2 Fe 3.16, 10 Mg 3.20-3.23
Mg 0.0000 0.0094 0.4929  1 Fe 2.95, 8 Mg 3.04-3.28, 2 Ca 3.20-3.23
Mg 0.0000 0.4929 0.0094  1 Fe 2.95, 8 Mg 3.04-3.28, 2 Ca 3.20-3.23
Mg 0.2245 0.6415 0.6415  1 Fe 2.97, 6 Mg 3.09-3.17
Mg 0.2473 0.1587 0.6452  10 Mg 3.06-3.34, 1 Fe 3.10, 1 Ca 3.22
Mg 0.2473 0.6452 0.1587  10 Mg 3.06-3.34, 1 Fe 3.10, 1 Ca 3.22
Mg 0.2611 0.1548 0.1548  11 Mg 3.09-3.28, 1 Ca 3.21
Mg 0.5000 0.4881 0.4881  12 Mg 3.15-3.33
Mg 0.5000 0.4924 0.9823  12 Mg 3.08-3.41
Mg 0.5000 0.9823 0.4924  12 Mg 3.08-3.41
Mg 0.5000 0.9852 0.9852  12 Mg 3.12-3.25
Mg 0.7389 0.1548 0.1548  11 Mg 3.09-3.28, 1 Ca 3.21
Mg 0.7527 0.1587 0.6452  10 Mg 3.06-3.34, 1 Fe 3.10, 1 Ca 3.22
Mg 0.7527 0.6452 0.1587  10 Mg 3.06-3.34, 1 Fe 3.10, 1 Ca 3.22
Mg 0.7755 0.6415 0.6415  1 Fe 2.97, 6 Mg 3.09-3.17
Fe 0.0000 0.4763 0.4763  8 Mg 2.95-3.10, 2 Ca 3.16

=====

Entry 8:
Computed, not measured: an optimized crystal structure of SrZn2CuPt at the PBE level of DFT.

The density of states at the Fermi level is 2.3 states/eV/cell. The formation energy is -0.26 eV per atom. For the total energy, the calculation gives -3.1358 eV per atom.

Lattice parameters (Å, degrees): 4.8273 4.8273 4.9671 90.00 90.00 90.00
With the nearest neighbours (Å) after each atom.
Atoms (fractional coordinates):
Sr 0.0000 0.0000 0.0000  4 Cu 3.41, 8 Zn 3.46
Zn 0.0000 0.5000 0.5000  2 Pt 2.41
Zn 0.5000 0.0000 0.5000  2 Pt 2.41
Cu 0.5000 0.5000 0.0000  2 Pt 2.48
Pt 0.5000 0.5000 0.5000  4 Zn 2.41, 2 Cu 2.48

=====

Entry 9:
Computed, not measured: an optimized crystal structure of CaPtSeBr2 at the PBE level of DFT.

The density of states at the Fermi level is 1.3 states/eV/cell. The raw formation energy is -0.6430 eV per atom. For the total energy, the calculation gives -3.6176 eV per atom. The energy above the most stable polymorph in this dataset is 0.00 eV per formula unit.

Lattice parameters (Å, degrees): 5.1088 5.1088 5.1722 90.00 90.00 90.00
With the nearest neighbours (Å) after each atom.
Atoms (fractional coordinates):
Ca 0.0000 0.0000 0.0000  4 Se 3.61, 8 Br 3.63
Pt 0.5000 0.5000 0.5000  4 Br 2.55, 2 Se 2.59
Se 0.5000 0.5000 0.0000  2 Pt 2.59
Br 0.0000 0.5000 0.5000  2 Pt 2.55
Br 0.5000 0.0000 0.5000  2 Pt 2.55

=====

Entry 10:
Computed, not measured: an optimized crystal structure of Pr8NiPt3Cl4 at the PBE level of DFT.

The density of states at the Fermi level is 13.2 states/eV/cell. The raw formation energy is -1.2204 eV per atom. For the total energy, the calculation gives -5.5658 eV per atom.

Lattice parameters (Å, degrees): 8.9251 8.9251 8.9251 56.14 56.14 56.14
With the nearest neighbours (Å) after each atom.
Atoms (fractional coordinates):
Pr 0.2369 0.2369 0.2369  3 Pt 2.89
Pr 0.2429 0.7319 0.7319  1 Ni 2.83, 2 Pt 2.90
Pr 0.2681 0.2681 0.7571  1 Ni 2.83, 2 Pt 2.90
Pr 0.2681 0.7571 0.2681  1 Ni 2.83, 2 Pt 2.90
Pr 0.7319 0.2429 0.7319  1 Ni 2.83, 2 Pt 2.90
Pr 0.7319 0.7319 0.2429  1 Ni 2.83, 2 Pt 2.90
Pr 0.7571 0.2681 0.2681  1 Ni 2.83, 2 Pt 2.90
Pr 0.7631 0.7631 0.7631  3 Pt 2.89
Ni 0.5000 0.5000 0.5000  6 Pr 2.83
Pt 0.0000 0.0000 0.5000  6 Pr 2.89-2.90
Pt 0.0000 0.5000 0.0000  6 Pr 2.89-2.90
Pt 0.5000 0.0000 0.0000  6 Pr 2.89-2.90
Cl 0.0000 0.0000 0.0000  6 Pr 3.31
Cl 0.0000 0.5000 0.5000  6 Pr 3.25
Cl 0.5000 0.0000 0.5000  6 Pr 3.25
Cl 0.5000 0.5000 0.0000  6 Pr 3.25

=====

- What is the formula in the ninth record?
  CaPtSeBr2